Arrangement w

Computed, not measured: a relaxed structure of Ac2NdAu at the PBE level of DFT.

a b c (Å): 4.0834 4.0834 31.2027
angles (deg): 90.00 90.00 120.00
With the nearest neighbours (Å) after each atom.
Space group R3m (No. 160, hexagonal axes)
One atom of each set of equivalent atoms:
Ac 0.0000 0.0000 0.0000 x3  3 Au 3.20
Ac 0.0000 0.0000 0.1942 x3  3 Au 3.21
Nd 0.0000 0.0000 0.4294 x3  6 Ac 3.81-3.86, 6 Nd 4.08
Au 0.0000 0.0000 0.5974 x3  6 Ac 3.20-3.21

Output
Theoretical density: 8.79 g/cm³


Arrangement x

Computed, not measured: a relaxed structure of Ac2NdAu at the PBE level of DFT.

a b c (Å): 4.0262 11.2948 6.4522
angles (deg): 90.00 91.03 90.00
With the nearest neighbours (Å) after each atom.
Space group P2_1/m (No. 11)
One atom of each set of equivalent atoms:
Ac 0.2461 0.0470 0.2582 x4  2 Au 3.24
Nd 0.2642 0.2500 0.7780 x2  2 Au 3.01-3.03
Au 0.2494 0.7500 0.5712 x2  2 Nd 3.01-3.03, 4 Ac 3.24

Output
Theoretical density: 9.00 g/cm³


Top of the stability list: arrangement x, leading by 0.041 eV/atom.


Arrangement w

Computed, not measured: a relaxed structure of AcNdPdAu at the PBE level of DFT.

a b c (Å): 7.5462 7.5462 7.5462
angles (deg): 90.00 90.00 90.00
With the nearest neighbours (Å) after each atom.
Space group F-43m (No. 216)
One atom of each set of equivalent atoms:
Ac 0.0000 0.0000 0.0000 x4  4 Pd 3.27, 4 Au 3.27
Nd 0.0000 0.0000 0.5000 x4  4 Au 3.27, 4 Pd 3.27
Pd 0.2500 0.2500 0.2500 x4  4 Ac 3.27, 4 Nd 3.27
Au 0.2500 0.2500 0.7500 x4  4 Ac 3.27, 4 Nd 3.27

Output
Theoretical density: 10.43 g/cm³


Arrangement x

Computed, not measured: a relaxed structure of AcNdPdAu at the PBE level of DFT.

a b c (Å): 4.8781 4.0475 11.2243
angles (deg): 90.00 90.00 90.00
With the nearest neighbours (Å) after each atom.
Space group Amm2 (No. 38)
One atom of each set of equivalent atoms:
Ac 0.0000 0.0000 0.0000 x2  3 Pd 3.09-3.24, 4 Au 3.23
Nd 0.5000 0.0000 0.2741 x2  3 Au 3.16-3.18, 4 Pd 3.22
Pd 0.0000 0.0000 0.7252 x2  2 Au 3.08, 3 Ac 3.09-3.24, 4 Nd 3.22
Au 0.5000 0.0000 0.5575 x2  2 Pd 3.08, 3 Nd 3.16-3.18, 4 Ac 3.23

Output
Theoretical density: 10.11 g/cm³


Top of the stability list: arrangement x, leading by 0.080 eV/atom.


Arrangement w

Computed, not measured: a relaxed structure of AcNdPtAu at the PBE level of DFT.

a b c (Å): 7.5206 7.5206 7.5206
angles (deg): 90.00 90.00 90.00
With the nearest neighbours (Å) after each atom.
Space group F-43m (No. 216)
One atom of each set of equivalent atoms:
Ac 0.0000 0.0000 0.0000 x4  4 Au 3.26, 4 Pt 3.26
Nd 0.0000 0.0000 0.5000 x4  4 Pt 3.26, 4 Au 3.26
Pt 0.2500 0.2500 0.7500 x4  4 Ac 3.26, 4 Nd 3.26
Au 0.2500 0.2500 0.2500 x4  4 Nd 3.26, 4 Ac 3.26

Output
Theoretical density: 11.92 g/cm³


Arrangement x

Computed, not measured: a relaxed structure of AcNdPtAu at the PBE level of DFT.

a b c (Å): 4.8168 4.0499 11.2502
angles (deg): 90.00 90.00 90.00
With the nearest neighbours (Å) after each atom.
Space group Amm2 (No. 38)
One atom of each set of equivalent atoms:
Ac 0.0000 0.0000 0.0000 x2  3 Pt 3.07-3.26, 4 Au 3.20
Nd 0.5000 0.0000 0.7265 x2  3 Au 3.15-3.19, 4 Pt 3.19
Pt 0.0000 0.0000 0.2726 x2  3 Ac 3.07-3.26, 2 Au 3.10, 4 Nd 3.19
Au 0.5000 0.0000 0.4462 x2  2 Pt 3.10, 3 Nd 3.15-3.19, 4 Ac 3.20

Output
Theoretical density: 11.55 g/cm³


Top of the stability list: arrangement x, leading by 0.087 eV/atom.


Arrangement w

Computed, not measured: a relaxed structure of AcNdRhAu at the PBE level of DFT.

a b c (Å): 4.7618 4.0733 10.9668
angles (deg): 90.00 90.00 90.00
With the nearest neighbours (Å) after each atom.
Space group Amm2 (No. 38)
One atom of each set of equivalent atoms:
Ac 0.0000 0.0000 0.0000 x2  1 Rh 2.87, 4 Au 3.21
Nd 0.5000 0.0000 0.7211 x2  3 Au 3.11-3.13, 4 Rh 3.17
Rh 0.0000 0.0000 0.2621 x2  1 Ac 2.87, 2 Au 3.05, 4 Nd 3.17
Au 0.5000 0.0000 0.4353 x2  2 Rh 3.05, 3 Nd 3.11-3.13, 4 Ac 3.21

Output
Theoretical density: 10.48 g/cm³


Arrangement x

Computed, not measured: a relaxed structure of AcNdRhAu at the PBE level of DFT.

a b c (Å): 7.4507 7.4507 7.4507
angles (deg): 90.00 90.00 90.00
With the nearest neighbours (Å) after each atom.
Space group F-43m (No. 216)
One atom of each set of equivalent atoms:
Ac 0.0000 0.0000 0.0000 x4  4 Rh 3.23, 4 Au 3.23
Nd 0.0000 0.0000 0.5000 x4  4 Rh 3.23, 4 Au 3.23
Rh 0.2500 0.2500 0.7500 x4  4 Ac 3.23, 4 Nd 3.23
Au 0.2500 0.2500 0.2500 x4  4 Ac 3.23, 4 Nd 3.23

Output
Theoretical density: 10.78 g/cm³


Top of the stability list: arrangement w, leading by 0.094 eV/atom.


Arrangement w

Computed, not measured: a relaxed structure of AcNdZnAu at the PBE level of DFT.

a b c (Å): 3.8321 3.8321 7.5369
angles (deg): 90.00 90.00 90.00
With the nearest neighbours (Å) after each atom.
Space group P4mm (No. 99)
One atom of each set of equivalent atoms:
Ac 0.0000 0.0000 0.0000 x1  4 Au 3.40, 4 Zn 3.40, 2 Nd 3.77
Nd 0.0000 0.0000 0.5002 x1  4 Zn 3.21, 4 Au 3.21
Zn 0.5000 0.5000 0.2726 x1  4 Nd 3.21, 4 Ac 3.40, 1 Au 3.44
Au 0.5000 0.5000 0.7286 x1  4 Nd 3.21, 4 Ac 3.40, 1 Zn 3.44

Output
Theoretical density: 9.51 g/cm³


Arrangement x

Computed, not measured: a relaxed structure of AcNdZnAu at the PBE level of DFT.

a b c (Å): 7.6380 7.6380 7.6380
angles (deg): 90.00 90.00 90.00
With the nearest neighbours (Å) after each atom.
Space group F-43m (No. 216)
One atom of each set of equivalent atoms:
Ac 0.0000 0.0000 0.0000 x4  4 Au 3.31, 4 Zn 3.31
Nd 0.0000 0.0000 0.5000 x4  4 Zn 3.31, 4 Au 3.31
Zn 0.2500 0.2500 0.7500 x4  4 Ac 3.31, 4 Nd 3.31
Au 0.2500 0.2500 0.2500 x4  4 Ac 3.31, 4 Nd 3.31

Output
Theoretical density: 9.45 g/cm³


Top of the stability list: arrangement w, leading by 0.031 eV/atom.


Arrangement w

Computed, not measured: a relaxed structure of Ac3NiAu at the PBE level of DFT.

a b c (Å): 12.9395 5.6397 9.4586
angles (deg): 90.00 108.02 90.00
With the nearest neighbours (Å) after each atom.
Space group C2/m (No. 12)
One atom of each set of equivalent atoms:
Ac 0.0965 0.0000 0.2005 x4  2 Ni 2.95-3.01
Ac 0.1231 0.5000 0.8856 x4  3 Ni 2.83-3.05
Ac 0.1680 0.0000 0.6079 x4  1 Ni 2.96, 3 Au 3.21-3.30
Ni 0.1430 0.0000 0.9082 x4  6 Ac 2.83-3.05
Au 0.0918 0.5000 0.4234 x4  1 Au 3.14, 4 Ac 3.21-3.35

Output
Theoretical density: 9.48 g/cm³


Arrangement x

Computed, not measured: a relaxed structure of Ac3NiAu at the PBE level of DFT.

a b c (Å): 4.2488 14.0897 11.1210
angles (deg): 90.00 90.00 90.00
With the nearest neighbours (Å) after each atom.
Space group Cmcm (No. 63)
One atom of each set of equivalent atoms:
Ac 0.0000 0.0799 0.2500 x4  2 Ni 3.00, 2 Au 3.24
Ac 0.0000 0.3654 0.0661 x8  2 Ni 2.94
Ni 0.0000 0.0000 0.0000 x4  6 Ac 2.94-3.00
Au 0.0000 0.2469 0.7500 x4  6 Ac 3.24-3.35

Output
Theoretical density: 9.34 g/cm³


Top of the stability list: arrangement x, leading by 0.085 eV/atom.